Compound: Ti2AgCl8
Source: Alexandria via LeMat-Bulk
Functional: PBE-GGA
Structure: optimized geometry

Output
The calculation puts the formation energy without anion corrections at -1.324 eV per atom. For the size of the total moment, the calculation gives 1.0 μB/f.u.

Lattice parameters (Å, degrees): 6.4340 7.9201 7.9201 74.82 85.45 85.45
Last column: nearest neighbours and their distance in Å.
Element x y z (fractional)
1 Ti 0.6562 0.8039 0.8039  4 Cl 2.20-2.25
2 Ti 0.3438 0.1961 0.1961  4 Cl 2.20-2.25
3 Ag 0.0000 0.0000 0.0000  6 Cl 2.78-2.85
4 Cl 0.3070 0.8205 0.8205  1 Ti 2.24
5 Cl 0.2284 0.9252 0.2974  1 Ti 2.25
6 Cl 0.7716 0.0748 0.7026  1 Ti 2.25
7 Cl 0.2143 0.3643 0.3643  1 Ti 2.20
8 Cl 0.7716 0.7026 0.0748  1 Ti 2.25
9 Cl 0.2284 0.2974 0.9252  1 Ti 2.25
10 Cl 0.6930 0.1795 0.1795  1 Ti 2.24
11 Cl 0.7857 0.6357 0.6357  1 Ti 2.20